Entry 1:
Below is crystalline GeOsI2O at its relaxed geometry, with properties calculated at the GGA-PBE level.

Lattice parameters (Å, degrees): 5.587 5.587 3.764 90.00 90.00 90.00
Space group P4/mmm (No. 123)
One atom of each set of equivalent atoms:
Ge 0.000 0.000 0.000
Os 0.500 0.500 0.500
I 0.000 0.500 0.500
O 0.500 0.500 0.000

DFT total energy: -23.0 eV for the cell shown
Offset from the most stable computed form: 0 meV/atom
Density of states at the Fermi level: 5.5 states/eV/f.u.
Raw formation energy: 186 meV per atom


Entry 2:
Below is crystalline Pm3Y2Mg at its relaxed geometry, with properties calculated at the GGA-PBE level.

Lattice parameters (Å, degrees): 3.375 6.228 19.145 90.00 90.00 90.00
Space group Immm (No. 71)
One atom of each set of equivalent atoms:
Pm 0.000 0.000 0.000
Pm 0.000 0.500 0.167
Y 0.000 0.500 0.341
Mg 0.000 0.500 0.000

DFT total energy: -53.2 eV for the cell shown
Offset from the most stable computed form: 381 meV/atom
Density of states at the Fermi level: 10.0 states/eV/f.u.


Entry 3:
Below is crystalline CoIr5Rh2 at its relaxed geometry, with properties calculated at the GGA-PBE level.

Lattice parameters (Å, degrees): 5.689 5.689 4.167 90.00 90.00 90.00
Space group P4/mmm (No. 123)
One atom of each set of equivalent atoms:
Co 0.000 0.000 0.000
Ir 0.000 0.000 0.500
Ir 0.289 0.289 0.000
Rh 0.000 0.500 0.500

DFT total energy: -58.0 eV for the cell shown
Density of states at the Fermi level: 13.9 states/eV/f.u.


Entry 4:
Below is crystalline NaHf3Ge at its relaxed geometry, with properties calculated at the GGA-PBE level.

Lattice parameters (Å, degrees): 5.079 5.079 5.079 90.00 90.00 90.00
Space group Pm-3m (No. 221)
One atom of each set of equivalent atoms:
Na 0.000 0.000 0.000
Hf 0.000 0.500 0.500
Ge 0.500 0.500 0.500

DFT total energy: -32.8 eV for the cell shown
Offset from the most stable computed form: 0 meV/atom
Density of states at the Fermi level: 6.1 states/eV/f.u.


Entry 5:
Below is crystalline ZnRe2Cl at its relaxed geometry, with properties calculated at the GGA-PBE level.

Lattice parameters (Å, degrees): 2.758 4.701 4.822 90.00 90.00 90.00
Space group Pmmm (No. 47)
One atom of each set of equivalent atoms:
Zn 0.000 0.000 0.000
Re 0.000 0.500 0.500
Re 0.500 0.500 0.000
Cl 0.500 0.000 0.500

DFT total energy: -24.8 eV for the cell shown
Offset from the most stable computed form: 735 meV/atom
Density of states at the Fermi level: 2.9 states/eV/f.u.
Raw formation energy: 809 meV per atom


Entry 6:
Below is crystalline KPtPbC2 at its relaxed geometry, with properties calculated at the GGA-PBE level.

Lattice parameters (Å, degrees): 4.872 4.872 5.264 90.00 90.00 90.00
Space group P4/mmm (No. 123)
One atom of each set of equivalent atoms:
K 0.000 0.000 0.000
Pt 0.500 0.500 0.000
Pb 0.500 0.500 0.500
C 0.000 0.500 0.500

DFT total energy: -18.3 eV for the cell shown
Density of states at the Fermi level: 2.8 states/eV/f.u.


Entry 7:
Below is crystalline CeHo4ErS8 at its relaxed geometry, with properties calculated at the GGA-PBE level.

Lattice parameters (Å, degrees): 8.0714 8.0714 19.7479 90.00 90.00 120.00
Space group R3m (No. 160, hexagonal axes)
One atom of each set of equivalent atoms:
Ce 0.0000 0.0000 0.0000
Ho 0.0000 0.0000 0.2497
Ho 0.0004 0.5002 0.1249
Er 0.0000 0.0000 0.6249
S 0.0000 0.0000 0.3820
S 0.0000 0.0000 0.8629
S 0.0328 0.5164 0.3786
S 0.1768 0.3536 0.2063

DFT total energy: -265.7 eV for the cell shown
Density of states at the Fermi level: 12.5 states/eV/f.u.
Raw formation energy: -1911 meV per atom


Entry 8:
Below is crystalline Cs2NbIO at its relaxed geometry, with properties calculated at the GGA-PBE level.

Lattice parameters (Å, degrees): 6.911 6.911 4.043 90.00 90.00 90.00
Space group P4/mmm (No. 123)
One atom of each set of equivalent atoms:
Cs 0.000 0.500 0.000
Nb 0.000 0.000 0.500
I 0.500 0.500 0.500
O 0.000 0.000 0.000

DFT total energy: -22.3 eV for the cell shown
Density of states at the Fermi level: 3.4 states/eV/f.u.
Raw formation energy: -799 meV per atom


Entry 9:
Below is crystalline CaZr2Pb at its relaxed geometry, with properties calculated at the GGA-PBE level.

Lattice parameters (Å, degrees): 3.419 5.604 11.176 90.00 90.00 90.00
Space group Cmmm (No. 65)
One atom of each set of equivalent atoms:
Ca 0.000 0.000 0.000
Zr 0.000 0.500 0.269
Pb 0.000 0.000 0.500

DFT total energy: -44.1 eV for the cell shown
Density of states at the Fermi level: 2.6 states/eV/f.u.


Entry 10:
Below is crystalline InCoBAs2 at its relaxed geometry, with properties calculated at the GGA-PBE level.

Lattice parameters (Å, degrees): 4.619 4.619 3.863 90.00 90.00 90.00
Space group P4/mmm (No. 123)
One atom of each set of equivalent atoms:
In 0.000 0.000 0.000
Co 0.500 0.500 0.000
B 0.500 0.500 0.500
As 0.000 0.500 0.500

DFT total energy: -22.8 eV for the cell shown
Density of states at the Fermi level: 4.5 states/eV/f.u.


Entry 11:
Below is crystalline Gd2CdO4 at its relaxed geometry, with properties calculated at the GGA-PBE level.

Lattice parameters (Å, degrees): 9.746 9.746 9.746 90.00 90.00 90.00
Space group Fd-3m (No. 227, origin choice 2)
One atom of each set of equivalent atoms:
Gd 0.000 0.000 0.000
Cd 0.125 0.125 0.625
O 0.012 0.012 0.238

DFT total energy: -542.1 eV for the cell shown
Density of states at the Fermi level: 0.0 states/eV/f.u.
Raw formation energy: -2693 meV per atom


Entry 12:
Below is crystalline Nd2PdPbO5 at its relaxed geometry, with properties calculated at the GGA-PBE level.

Lattice parameters (Å, degrees): 6.787 6.787 5.900 90.00 90.00 90.00
Space group P4/mbm (No. 127)
One atom of each set of equivalent atoms:
Nd 0.173 0.327 0.000
Pd 0.000 0.500 0.500
Pb 0.000 0.000 0.500
O 0.000 0.000 0.000
O 0.141 0.641 0.248

DFT total energy: -124.8 eV for the cell shown
Density of states at the Fermi level: 0.0 states/eV/f.u.
Raw formation energy: -2131 meV per atom


Entry 13:
Below is crystalline K2AlOs at its relaxed geometry, with properties calculated at the GGA-PBE level.

Lattice parameters (Å, degrees): 3.213 4.556 5.827 90.00 90.00 90.00
Space group Pmmm (No. 47)
One atom of each set of equivalent atoms:
K 0.000 0.000 0.000
K 0.500 0.500 0.000
Al 0.000 0.500 0.500
Os 0.500 0.000 0.500

DFT total energy: -13.2 eV for the cell shown
Density of states at the Fermi level: 2.1 states/eV/f.u.


Entry 14:
Below is crystalline Pm4SmEr5 at its relaxed geometry, with properties calculated at the GGA-PBE level.

Lattice parameters (Å, degrees): 10.631 10.631 5.942 90.00 90.00 90.00
Space group I4mm (No. 107)
One atom of each set of equivalent atoms:
Pm 0.000 0.325 0.000
Sm 0.000 0.000 0.749
Er 0.000 0.000 0.223
Er 0.189 0.189 0.484

DFT total energy: -88.1 eV for the cell shown
Offset from the most stable computed form: 54 meV/atom
Density of states at the Fermi level: 13.0 states/eV/f.u.


Entry 15:
Below is crystalline FeTcSnRu at its relaxed geometry, with properties calculated at the GGA-PBE level.

Lattice parameters (Å, degrees): 6.245 6.245 6.245 90.00 90.00 90.00
Space group F-43m (No. 216)
One atom of each set of equivalent atoms:
Fe 0.000 0.000 0.000
Tc 0.250 0.250 0.250
Sn 0.000 0.000 0.500
Ru 0.250 0.250 0.750

DFT total energy: -126.9 eV for the cell shown
Density of states at the Fermi level: 4.3 states/eV/f.u.


Entry 16:
Below is crystalline Ac3Cu7Ge4 at its relaxed geometry, with properties calculated at the GGA-PBE level.

Lattice parameters (Å, degrees): 18.348 4.358 7.720 90.00 113.09 90.00
Space group C2/m (No. 12)
One atom of each set of equivalent atoms:
Ac 0.000 0.000 0.000
Ac 0.243 0.500 0.746
Cu 0.000 0.000 0.500
Cu 0.014 0.500 0.676
Cu 0.121 0.000 0.794
Cu 0.122 0.500 0.293
Ge 0.123 0.000 0.455
Ge 0.130 0.500 0.977

DFT total energy: -129.0 eV for the cell shown
Density of states at the Fermi level: 4.4 states/eV/f.u.


Entry 17:
Below is crystalline Hf2Ti5In3 at its relaxed geometry, with properties calculated at the GGA-PBE level.

Lattice parameters (Å, degrees): 10.952 13.967 5.366 90.00 90.00 90.00
Space group Ibam (No. 72)
One atom of each set of equivalent atoms:
Hf 0.090 0.195 0.000
Ti 0.000 0.500 0.250
Ti 0.183 0.148 0.500
Ti 0.244 0.500 0.250
In 0.000 0.000 0.250
In 0.129 0.339 0.500

DFT total energy: -261.5 eV for the cell shown
Density of states at the Fermi level: 12.8 states/eV/f.u.


Entry 18:
Below is crystalline SnRhPb at its relaxed geometry, with properties calculated at the GGA-PBE level.

Lattice parameters (Å, degrees): 6.605 6.605 5.911 90.00 90.00 90.00
Space group P4/mbm (No. 127)
One atom of each set of equivalent atoms:
Sn 0.161 0.339 0.000
Rh 0.000 0.000 0.239
Pb 0.168 0.668 0.500

DFT total energy: -63.0 eV for the cell shown
Density of states at the Fermi level: 1.3 states/eV/f.u.


Entry 19:
Below is crystalline Pm2NpN3 at its relaxed geometry, with properties calculated at the GGA-PBE level.

Lattice parameters (Å, degrees): 6.134 10.620 6.156 90.00 109.45 90.00
Space group C2/m (No. 12)
One atom of each set of equivalent atoms:
Pm 0.000 0.000 0.000
Pm 0.000 0.165 0.500
Pm 0.000 0.500 0.500
Np 0.000 0.333 0.000
N 0.221 0.500 0.225
N 0.248 0.323 0.772

DFT total energy: -222.1 eV for the cell shown
Density of states at the Fermi level: 8.1 states/eV/f.u.
Raw formation energy: -1352 meV per atom


Entry 20:
Below is crystalline Zr2HPtRh at its relaxed geometry, with properties calculated at the GGA-PBE level.

Lattice parameters (Å, degrees): 4.414 4.414 3.845 90.00 90.00 90.00
Space group P4/mmm (No. 123)
One atom of each set of equivalent atoms:
Zr 0.000 0.500 0.000
H 0.000 0.000 0.000
Pt 0.500 0.500 0.500
Rh 0.000 0.000 0.500

DFT total energy: -37.3 eV for the cell shown
Offset from the most stable computed form: 0 meV/atom
Density of states at the Fermi level: 4.9 states/eV/f.u.


Entry 21:
Below is crystalline EuNi2N at its relaxed geometry, with properties calculated at the GGA-PBE level.

Lattice parameters (Å, degrees): 3.6248 3.6248 15.2378 90.00 90.00 120.00
Space group R-3m (No. 166, hexagonal axes)
One atom of each set of equivalent atoms:
Eu 0.0000 0.0000 0.0000
Ni 0.0000 0.0000 0.1979
N 0.0000 0.0000 0.5000

DFT total energy: -86.7 eV for the cell shown
Density of states at the Fermi level: 5.5 states/eV/f.u.
Raw formation energy: 315 meV per atom


Entry 22:
Below is crystalline BaLiNdS3 at its relaxed geometry, with properties calculated at the GGA-PBE level.

Lattice parameters (Å, degrees): 8.760 4.172 8.959 90.00 103.33 90.00
Space group P2_1/m (No. 11)
One atom of each set of equivalent atoms:
Ba 0.184 0.250 0.236
Li 0.085 0.250 0.590
Nd 0.333 0.750 0.832
S 0.119 0.250 0.865
S 0.195 0.750 0.516
S 0.441 0.750 0.163

DFT total energy: -64.8 eV for the cell shown
Density of states at the Fermi level: 0.0 states/eV/f.u.
Raw formation energy: -1904 meV per atom


Entry 23:
Below is crystalline Li6TlHg2 at its relaxed geometry, with properties calculated at the GGA-PBE level.

Lattice parameters (Å, degrees): 3.044 7.881 14.039 90.00 90.00 90.00
Space group Immm (No. 71)
One atom of each set of equivalent atoms:
Li 0.000 0.172 0.000
Li 0.000 0.324 0.169
Tl 0.000 0.000 0.500
Hg 0.000 0.500 0.349

DFT total energy: -33.1 eV for the cell shown
Offset from the most stable computed form: 16 meV/atom
Density of states at the Fermi level: 3.5 states/eV/f.u.


Entry 24:
Below is crystalline Nd2ScTl at its relaxed geometry, with properties calculated at the GGA-PBE level.

Lattice parameters (Å, degrees): 6.747 8.663 7.986 90.00 90.00 90.00
Space group Imma (No. 74)
One atom of each set of equivalent atoms:
Nd 0.250 0.046 0.250
Sc 0.000 0.250 0.566
Tl 0.000 0.250 0.944

DFT total energy: -75.7 eV for the cell shown
Offset from the most stable computed form: 0 meV/atom
Density of states at the Fermi level: 4.8 states/eV/f.u.